First-principles (PBE-GGA) data for crystalline ZnRePCl2 at its relaxed geometry, as listed in the Alexandria database.

Lattice parameters (Å, degrees): 4.4878 4.4878 5.5695 90.00 90.00 90.00
With the nearest neighbours (Å) after each atom.
Space group P4/mmm (No. 123)
Symmetry-distinct sites (fractional):
Zn (0.0000, 0.0000, 0.0000)  4 Cl 2.24
Re (0.5000, 0.5000, 0.5000)  4 P 3.17
P (0.0000, 0.0000, 0.5000)  2 Zn 2.78
Cl (0.0000, 0.5000, 0.0000)  2 Zn 2.24

Values from the calculation:
Fermi-level density of states ... 1.671 states/eV/cell
Volume ... 112.2 Å³ per cell
Energy above the most stable polymorph in this dataset ... 642 meV per atom



First-principles (PBE-GGA) data for crystalline Pr5NdDy4 at its relaxed geometry, as listed in the Alexandria database.

Lattice parameters (Å, degrees): 18.8809 3.6512 10.2966 90.00 106.34 90.00
With the nearest neighbours (Å) after each atom.
Space group C2/m (No. 12)
Symmetry-distinct sites (fractional):
Pr (0.0000, 0.0000, 0.0000)  8 Pr 3.63-3.66, 4 Dy 3.69
Pr (0.1008, 0.5000, 0.3041)  4 Dy 3.59-3.66, 2 Nd 3.63, 6 Pr 3.65-3.67
Pr (0.2004, 0.0000, 0.1003)  5 Dy 3.60-3.65, 7 Pr 3.63-3.67
Nd (0.0000, 0.0000, 0.5000)  6 Dy 3.61-3.62, 4 Pr 3.63, 2 Nd 3.65
Dy (0.1011, 0.5000, 0.7971)  6 Pr 3.60-3.69, 2 Nd 3.61, 4 Dy 3.61-3.65
Dy (0.1999, 0.0000, 0.6000)  5 Pr 3.59-3.62, 6 Dy 3.61-3.65, 1 Nd 3.62

Values from the calculation:
Fermi-level density of states ... 25.892 states/eV/cell
Volume ... 681.2 Å³ per cell
Calculated formation energy ... 0.146 eV/f.u.
Energy above the most stable polymorph in this dataset ... 0 meV per atom



First-principles (PBE-GGA) data for crystalline Nd3UTe6 at its relaxed geometry, as listed in the Alexandria database.

Lattice parameters (Å, degrees): 14.0222 8.6341 7.7696 90.00 123.44 90.00
With the nearest neighbours (Å) after each atom.
Space group C2/m (No. 12)
Symmetry-distinct sites (fractional):
Nd (0.0000, 0.0000, 0.0000)  6 Te 3.09-3.25
Nd (0.2498, 0.0000, 0.6782)  5 Te 3.13-3.20
U (0.0000, 0.5000, 0.5000)  6 Te 3.06-3.16
Te (0.0866, 0.2510, 0.3382)  1 U 3.06, 3 Nd 3.09-3.20
Te (0.2452, 0.5000, 0.9142)  2 Nd 3.13-3.25, 1 U 3.16

Values from the calculation:
Electronic total energy ... -109.6 eV for the cell shown
Fermi-level density of states ... 16.549 states/eV/cell
Volume ... 784.9 Å³ per cell



First-principles (PBE-GGA) data for crystalline Sm12AlCd3 at its relaxed geometry, as listed in the Alexandria database.

Lattice parameters (Å, degrees): 4.9101 4.9101 19.5899 90.00 90.00 90.00
With the nearest neighbours (Å) after each atom.
Space group P4/mmm (No. 123)
Symmetry-distinct sites (fractional):
Sm (0.0000, 0.0000, 0.0000)  8 Sm 3.41, 4 Al 3.47
Sm (0.0000, 0.0000, 0.2483)  4 Cd 3.47, 8 Sm 3.48-3.50
Sm (0.0000, 0.0000, 0.5000)  4 Cd 3.47, 8 Sm 3.48
Sm (0.0000, 0.5000, 0.1208)  2 Al 3.41, 8 Sm 3.41-3.50, 2 Cd 3.51
Sm (0.0000, 0.5000, 0.3742)  8 Sm 3.47-3.48, 4 Cd 3.48
Al (0.5000, 0.5000, 0.0000)  12 Sm 3.41-3.47
Cd (0.5000, 0.5000, 0.2485)  12 Sm 3.47-3.51
Cd (0.5000, 0.5000, 0.5000)  12 Sm 3.47-3.48

Values from the calculation:
Fermi-level density of states ... 22.574 states/eV/cell
Volume ... 472.3 Å³ per cell
Calculated formation energy ... -1.934 eV/f.u.



First-principles (PBE-GGA) data for crystalline ErAl9Pt2 at its relaxed geometry, as listed in the Alexandria database.

Lattice parameters (Å, degrees): 10.6877 10.6877 7.1261 90.00 90.00 90.00
With the nearest neighbours (Å) after each atom.
Space group I4_1/amd (No. 141, origin choice 2)
Symmetry-distinct sites (fractional):
Er (0.0000, 0.2500, 0.3750)  18 Al 3.30-3.56
Al (0.0000, 0.2500, 0.8750)  4 Pt 2.82, 8 Al 2.87
Al (0.1212, 0.0494, 0.6772)  6 Al 2.59-2.87, 2 Pt 2.60-2.69
Pt (0.0000, 0.0000, 0.0000)  10 Al 2.60-2.82

Values from the calculation:
Fermi-level density of states ... 10.945 states/eV/cell
Volume ... 814.0 Å³ per cell
Calculated formation energy ... -6.141 eV/f.u.



First-principles (PBE-GGA) data for crystalline RbPaAs2 at its relaxed geometry, as listed in the Alexandria database.

Lattice parameters (Å, degrees): 4.2973 4.2973 24.2546 90.00 90.00 120.00
With the nearest neighbours (Å) after each atom.
Space group R3m (No. 160, hexagonal axes)
Symmetry-distinct sites (fractional):
Rb (0.0000, 0.0000, 0.0000)  6 As 3.54-3.66
Pa (0.0000, 0.0000, 0.1698)  6 As 2.87
As (0.0000, 0.0000, 0.5623)  3 Pa 2.87
As (0.0000, 0.0000, 0.7773)  3 Pa 2.87

Values from the calculation:
Volume ... 387.9 Å³ per cell
Calculated formation energy ... -3.113 eV/f.u.
Energy above the most stable polymorph in this dataset ... 23 meV per atom



volume of number 1 (ZnRePCl2)?
112.2 Å³ per cell